Density functional theory data (PBE-GGA) for an optimized crystal structure of LiHRu3.

Values from the calculation:
Its volume is 57.0 Å³ per cell. As for the energy above the most stable polymorph in this dataset: 0.00 eV per formula unit. The calculation puts the raw total energy at -31.50 eV/f.u. The density of states at the Fermi level comes out at 1.620 states/eV/atom. The crystal system is cubic.

The structure in CIF format:
```
data_LiHRu3
_chemical_formula_sum 'Li1 H1 Ru3'
_cell_length_a 3.8494
_cell_length_b 3.8494
_cell_length_c 3.8494
_cell_angle_alpha 90.00
_cell_angle_beta 90.00
_cell_angle_gamma 90.00
_space_group_name_H-M_alt 'P m -3 m'
_space_group_IT_number 221
_space_group_name_Hall '-P 4 2 3'
loop_
_atom_site_label
_atom_site_type_symbol
_atom_site_fract_x
_atom_site_fract_y
_atom_site_fract_z
Li1 Li 0.0000 0.0000 0.0000
H1 H 0.5000 0.5000 0.5000
Ru1 Ru 0.0000 0.5000 0.5000
```


Density functional theory data (PBE-GGA) for an optimized crystal structure of Sr2Sm2S5.

Values from the calculation:
For the uncorrected formation energy, the calculation gives -2.07 eV/atom. Its volume is 876.1 Å³ per cell. The calculation puts the raw total energy at -52.11 eV/f.u. The density of states at the Fermi level comes out at 0.000 states/eV/atom. The crystal system is orthorhombic.

The structure in CIF format:
```
data_Sr2Sm2S5
_chemical_formula_sum 'Sr8 Sm8 S20'
_cell_length_a 14.5271
_cell_length_b 7.7513
_cell_length_c 7.7803
_cell_angle_alpha 90.00
_cell_angle_beta 90.00
_cell_angle_gamma 90.00
_space_group_name_H-M_alt 'C m c e'
_space_group_IT_number 64
_space_group_name_Hall '-C 2ac 2'
loop_
_atom_site_label
_atom_site_type_symbol
_atom_site_fract_x
_atom_site_fract_y
_atom_site_fract_z
Sr1 Sr 0.1991 0.0000 0.0000
Sm1 Sm 0.0000 0.1609 0.3385
S1 S 0.0000 0.0000 0.0000
S2 S 0.1287 0.1522 0.6501
```


Density functional theory data (PBE-GGA) for an optimized crystal structure of Nd2AlSi3Ni4.

Values from the calculation:
For the uncorrected formation energy, the calculation gives -0.77 eV/atom. Its volume is 160.2 Å³ per cell. The calculation puts the raw total energy at -60.36 eV/f.u. The density of states at the Fermi level comes out at 0.574 states/eV/atom. The crystal system is tetragonal.

The structure in CIF format:
```
data_Nd2AlSi3Ni4
_chemical_formula_sum 'Nd2 Al1 Si3 Ni4'
_cell_length_a 4.0655
_cell_length_b 4.0655
_cell_length_c 9.6945
_cell_angle_alpha 90.00
_cell_angle_beta 90.00
_cell_angle_gamma 90.00
_space_group_name_H-M_alt 'P -4 m 2'
_space_group_IT_number 115
_space_group_name_Hall 'P -4 -2'
loop_
_atom_site_label
_atom_site_type_symbol
_atom_site_fract_x
_atom_site_fract_y
_atom_site_fract_z
Nd1 Nd 0.0000 0.5000 0.2460
Al1 Al 0.0000 0.0000 0.5000
Si1 Si 0.0000 0.5000 0.8770
Si2 Si 0.5000 0.5000 0.5000
Ni1 Ni 0.0000 0.0000 0.0000
Ni2 Ni 0.0000 0.5000 0.6338
Ni3 Ni 0.5000 0.5000 0.0000
```


Density functional theory data (PBE-GGA) for an optimized crystal structure of Rb3CuO2.

Values from the calculation:
For the uncorrected formation energy, the calculation gives -1.01 eV/atom. Its volume is 593.5 Å³ per cell. The calculation puts the raw total energy at -22.97 eV/f.u. The crystal system is monoclinic.

The structure in CIF format:
```
data_Rb3CuO2
_chemical_formula_sum 'Rb12 Cu4 O8'
_cell_length_a 6.8183
_cell_length_b 9.8131
_cell_length_c 9.5695
_cell_angle_alpha 90.00
_cell_angle_beta 112.03
_cell_angle_gamma 90.00
_space_group_name_H-M_alt 'P 1 21/c 1'
_space_group_IT_number 14
_space_group_name_Hall '-P 2ybc'
loop_
_atom_site_label
_atom_site_type_symbol
_atom_site_fract_x
_atom_site_fract_y
_atom_site_fract_z
Rb1 Rb 0.2387 0.0274 0.3750
Rb2 Rb 0.2534 0.0345 0.9949
Rb3 Rb 0.2587 0.7086 0.1873
Cu1 Cu 0.2093 0.1794 0.6729
O1 O 0.0065 0.6979 0.3789
O2 O 0.4308 0.0612 0.7222
```


Density functional theory data (PBE-GGA) for an optimized crystal structure of CrGa.

Values from the calculation:
Its volume is 186.9 Å³ per cell. The calculation puts the raw total energy at -12.23 eV/f.u. The density of states at the Fermi level comes out at 0.798 states/eV/atom. The crystal system is orthorhombic.

The structure in CIF format:
```
data_CrGa
_chemical_formula_sum 'Cr6 Ga6'
_cell_length_a 2.7646
_cell_length_b 11.3138
_cell_length_c 5.9750
_cell_angle_alpha 90.00
_cell_angle_beta 90.00
_cell_angle_gamma 90.00
_space_group_name_H-M_alt 'A m m 2'
_space_group_IT_number 38
_space_group_name_Hall 'A 2 -2'
loop_
_atom_site_label
_atom_site_type_symbol
_atom_site_fract_x
_atom_site_fract_y
_atom_site_fract_z
Cr1 Cr 0.0000 0.0000 0.0000
Cr2 Cr 0.5000 0.1060 0.2250
Ga1 Ga 0.0000 0.2461 0.9670
Ga2 Ga 0.5000 0.0000 0.6214
```


Density functional theory data (PBE-GGA) for an optimized crystal structure of TbNp3Pt12.

Values from the calculation:
Its volume is 285.5 Å³ per cell. The calculation puts the raw total energy at -125.95 eV/f.u. The density of states at the Fermi level comes out at 2.231 states/eV/atom. The crystal system is tetragonal.

The structure in CIF format:
```
data_TbNp3Pt12
_chemical_formula_sum 'Tb1 Np3 Pt12'
_cell_length_a 4.1438
_cell_length_b 4.1438
_cell_length_c 16.6266
_cell_angle_alpha 90.00
_cell_angle_beta 90.00
_cell_angle_gamma 90.00
_space_group_name_H-M_alt 'P 4/m m m'
_space_group_IT_number 123
_space_group_name_Hall '-P 4 2'
loop_
_atom_site_label
_atom_site_type_symbol
_atom_site_fract_x
_atom_site_fract_y
_atom_site_fract_z
Tb1 Tb 0.0000 0.0000 0.0000
Np1 Np 0.0000 0.0000 0.2484
Np2 Np 0.0000 0.0000 0.5000
Pt1 Pt 0.0000 0.5000 0.1268
Pt2 Pt 0.0000 0.5000 0.3728
Pt3 Pt 0.5000 0.5000 0.0000
Pt4 Pt 0.5000 0.5000 0.2496
Pt5 Pt 0.5000 0.5000 0.5000
```


Density functional theory data (PBE-GGA) for an optimized crystal structure of Ba2NaNiHg.

Values from the calculation:
Its volume is 186.7 Å³ per cell. The calculation puts the raw total energy at -11.76 eV/f.u. The density of states at the Fermi level comes out at 0.705 states/eV/atom. The crystal system is tetragonal.

The structure in CIF format:
```
data_Ba2NaNiHg
_chemical_formula_sum 'Ba2 Na1 Ni1 Hg1'
_cell_length_a 6.0123
_cell_length_b 6.0123
_cell_length_c 5.1655
_cell_angle_alpha 90.00
_cell_angle_beta 90.00
_cell_angle_gamma 90.00
_space_group_name_H-M_alt 'P 4/m m m'
_space_group_IT_number 123
_space_group_name_Hall '-P 4 2'
loop_
_atom_site_label
_atom_site_type_symbol
_atom_site_fract_x
_atom_site_fract_y
_atom_site_fract_z
Ba1 Ba 0.0000 0.5000 0.0000
Na1 Na 0.0000 0.0000 0.5000
Ni1 Ni 0.5000 0.5000 0.0000
Hg1 Hg 0.5000 0.5000 0.5000
```


Density functional theory data (PBE-GGA) for an optimized crystal structure of BaLaPb.

Values from the calculation:
Its volume is 251.0 Å³ per cell. The calculation puts the raw total energy at -11.39 eV/f.u. The density of states at the Fermi level comes out at 1.266 states/eV/atom. The crystal system is tetragonal.

The structure in CIF format:
```
data_BaLaPb
_chemical_formula_sum 'Ba2 La2 Pb2'
_cell_length_a 4.0135
_cell_length_b 4.0135
_cell_length_c 15.5842
_cell_angle_alpha 90.00
_cell_angle_beta 90.00
_cell_angle_gamma 90.00
_space_group_name_H-M_alt 'I 4 m m'
_space_group_IT_number 107
_space_group_name_Hall 'I 4 -2'
loop_
_atom_site_label
_atom_site_type_symbol
_atom_site_fract_x
_atom_site_fract_y
_atom_site_fract_z
Ba1 Ba 0.0000 0.0000 0.0000
La1 La 0.0000 0.0000 0.7264
Pb1 Pb 0.0000 0.0000 0.3468
```